The following is a PBE calculation of DyTiAlCd after structural relaxation, from Alexandria via LeMat-Bulk.

Calculated values
D(E_F) = 0.65 states/eV/atom
Raw total energy = -17.707 eV per cell
Space group = F-43m

The structure in extended XYZ format:
```
4
Lattice="-2.4305 -0.7283 4.2109 -4.7140 -1.3928 -0.0919 -1.2439 -4.5566 1.3638" Properties=species:S:1:pos:R:3 pbc="T T T"
Al -6.2913 -5.0083 4.1121
Cd -2.0971 -1.6694 1.3707
Ti 0.0000 0.0000 0.0000
Dy -4.1942 -3.3389 2.7414
```